# Cs3AgIr PBE-GGA optimized geometry
# Distance to the lowest polymorph of the same formula in eV/f.u.: 0.00
# M_tot in μB per formula unit: 0.002
# Energy of formation in eV per atom: 0.59
data_Cs3AgIr
_chemical_formula_sum 'Cs3 Ag1 Ir1'
_symmetry_space_group_name_H-M 'P 1'
_symmetry_Int_Tables_number 1
_cell_length_a 6.292
_cell_length_b 6.292
_cell_length_c 6.292
_cell_angle_alpha 90.00
_cell_angle_beta 90.00
_cell_angle_gamma 90.00
loop_
_symmetry_equiv_pos_as_xyz
'x,y,z'
loop_
_atom_site_label
_atom_site_type_symbol
_atom_site_fract_x
_atom_site_fract_y
_atom_site_fract_z
Cs1 Cs 0.000 0.000 0.500
Cs2 Cs 0.000 0.500 0.000
Cs3 Cs 0.500 0.000 0.000
Ag1 Ag 0.500 0.500 0.500
Ir1 Ir 0.000 0.000 0.000